{
  "formula": "GeTe3Pt",
  "functional": "GGA-PBE",
  "state": "relaxed",
  "m_tot_mub_per_cell": 0.00,
  "polymorph_energy_mev_per_atom": 0,
  "vol_a3_per_atom": 29.99,
  "e_form_raw_kj_per_mol_atoms": 41.5,
  "cell": [[5.313, 0.000, 0.000], [0.000, 5.313, 0.000], [0.000, 0.000, 5.313]],
  "species": ["Ge", "Te", "Te", "Te", "Pt"],
  "fractional_positions": [[0.500, 0.500, 0.500], [0.000, 0.500, 0.000], [0.000, 0.000, 0.500], [0.500, 0.000, 0.000], [0.000, 0.000, 0.000]]
}

{
  "formula": "Ge2Te8Pt",
  "functional": "GGA-PBE",
  "state": "relaxed",
  "m_tot_mub_per_cell": 0.00,
  "vol_a3_per_atom": 31.09,
  "e_form_raw_kj_per_mol_atoms": -1.8,
  "cell": [[5.987, 0.557, 0.423], [0.649, 7.994, 0.751], [0.649, 2.876, 7.496]],
  "species": ["Ge", "Ge", "Te", "Te", "Te", "Te", "Te", "Te", "Te", "Te", "Pt"],
  "fractional_positions": [[0.623, 0.810, 0.810], [0.377, 0.190, 0.190], [0.266, 0.287, 0.836], [0.734, 0.164, 0.713], [0.198, 0.803, 0.803], [0.802, 0.197, 0.197], [0.266, 0.836, 0.287], [0.734, 0.713, 0.164], [0.792, 0.617, 0.617], [0.208, 0.383, 0.383], [0.000, 0.000, 0.000]]
}